Compound: RbGaHgSe3
Source: OQMD via LeMat-Bulk
Functional: PBE
Structure: optimized geometry

abc: 8.039 8.039 12.133
angles: 90.00 90.00 150.88
Sites, in units of the cell vectors:
Rb1 0.248 0.752 0.750
Rb2 0.752 0.248 0.250
Ga1 0.474 0.526 0.250
Ga2 0.526 0.474 0.750
Hg1 0.000 0.000 0.000
Hg2 0.000 0.000 0.500
Se1 0.070 0.930 0.250
Se2 0.390 0.610 0.081
Se3 0.390 0.610 0.419
Se4 0.610 0.390 0.581
Se5 0.610 0.390 0.919
Se6 0.930 0.070 0.750

Results
DFT total energy in eV/atom: -3.087
SG: No. 63

***

Compound: GaReHg
Source: OQMD via LeMat-Bulk
Functional: PBE
Structure: optimized geometry

abc: 6.289 6.289 6.289
angles: 90.00 90.00 90.00
Sites, in units of the cell vectors:
Ga1 0.000 0.000 0.000
Ga2 0.000 0.500 0.500
Ga3 0.500 0.000 0.500
Ga4 0.500 0.500 0.000
Re1 0.250 0.250 0.250
Re2 0.250 0.750 0.750
Re3 0.750 0.250 0.750
Re4 0.750 0.750 0.250
Hg1 0.000 0.000 0.500
Hg2 0.000 0.500 0.000
Hg3 0.500 0.000 0.000
Hg4 0.500 0.500 0.500

Results
SG: No. 216
Offset from the most stable computed form in meV/atom: 0
Total magnetization in μB/f.u.: 1.52

***

Compound: GaReHg2
Source: OQMD via LeMat-Bulk
Functional: PBE
Structure: optimized geometry

abc: 6.655 6.655 6.655
angles: 90.00 90.00 90.00
Sites, in units of the cell vectors:
Ga1 0.000 0.000 0.000
Ga2 0.000 0.500 0.500
Ga3 0.500 0.000 0.500
Ga4 0.500 0.500 0.000
Re1 0.250 0.250 0.250
Re2 0.250 0.750 0.750
Re3 0.750 0.250 0.750
Re4 0.750 0.750 0.250
Hg1 0.000 0.000 0.500
Hg2 0.000 0.500 0.000
Hg3 0.250 0.250 0.750
Hg4 0.250 0.750 0.250
Hg5 0.500 0.000 0.000
Hg6 0.500 0.500 0.500
Hg7 0.750 0.250 0.250
Hg8 0.750 0.750 0.750

Results
DFT total energy in eV/atom: -3.109
SG: No. 216
Total magnetization in μB/f.u.: 0.01

***

Compound: GaReHg
Source: OQMD via LeMat-Bulk
Functional: PBE
Structure: optimized geometry

abc: 6.074 6.074 6.074
angles: 90.00 90.00 90.00
Sites, in units of the cell vectors:
Ga1 0.000 0.000 0.000
Ga2 0.000 0.500 0.500
Ga3 0.500 0.000 0.500
Ga4 0.500 0.500 0.000
Re1 0.250 0.250 0.250
Re2 0.250 0.750 0.750
Re3 0.750 0.250 0.750
Re4 0.750 0.750 0.250
Hg1 0.250 0.250 0.750
Hg2 0.250 0.750 0.250
Hg3 0.750 0.250 0.250
Hg4 0.750 0.750 0.750

Results
SG: No. 216
Offset from the most stable computed form in meV/atom: 29
Total magnetization in μB/f.u.: 0.02